This record from Alexandria describes crystalline SrZr2P at its relaxed geometry. The functional is PBE.

Unit cell a=4.4291 b=4.4291 c=4.5129 alpha=90.00 beta=90.00 gamma=90.00
With the nearest neighbours (Å) after each atom.
Space group P4/mmm (No. 123)
Asymmetric unit:
Sr  0.0000  0.0000  0.0000 x1  4 P 3.13, 8 Zr 3.16
Zr  0.0000  0.5000  0.5000 x2  4 Zr 3.13, 4 Sr 3.16, 4 P 3.16
P  0.5000  0.5000  0.0000 x1  4 Sr 3.13, 8 Zr 3.16

Results
V in Å³/f.u.: 89
Crystal system: tetragonal
D(E_F) in states/eV per cell: 3.403
ΔH_f (0 K) in kcal/mol of atoms: 2.01